[1]
NaYSn | PBE | relaxed

Cell lengths 5.3657, 5.3657, 7.4140 Å; angles 90.00, 90.00, 90.00 degrees
Element x y z (fractional)
1 Na 0.2500 0.2500 0.1330
2 Na 0.7500 0.7500 0.8670
3 Y 0.2500 0.7500 0.5000
4 Y 0.7500 0.2500 0.5000
5 Sn 0.2500 0.2500 0.7043
6 Sn 0.7500 0.7500 0.2957

Summary:
**Final energy**: -4.2223 eV/atom
**V**: 35.6 Å³ per atom
**Space group**: P4/nmm (129)
**Density**: 3.6 g/cm³
**Energy above the lowest structure with this stoichiometry**: 205 meV/atom
**E_form**: -0.294 eV per atom

=====

[2]
NaYSn | PBE | relaxed

Cell lengths 5.4114, 5.4114, 6.4033 Å; angles 90.00, 90.00, 120.00 degrees
Element x y z (fractional)
1 Na 0.0000 0.0000 0.0000
2 Na 0.0000 0.0000 0.5000
3 Y 0.3333 0.6667 0.2500
4 Y 0.6667 0.3333 0.7500
5 Sn 0.3333 0.6667 0.7500
6 Sn 0.6667 0.3333 0.2500

Summary:
**Final energy**: -4.4274 eV/atom
**V**: 27.1 Å³ per atom
**Space group**: P6_3/mmc (194)
**Density**: 4.7 g/cm³
**Energy above the lowest structure with this stoichiometry**: 0 meV/atom
**E_form**: -0.499 eV per atom

=====

- What is the E_form in the first record?
  -0.294 eV per atom

=====

- Look up the E_form of the first one.
  -0.294 eV per atom

=====

- The highest V belongs to which entry?
  number 1